# 1
VASP calculation (PBE) on a relaxed Li2YRe crystal.

Properties
Total magnetic moment, Bohr magnetons per cell: 0.0
E_tot, eV/cell: -21.13

abc: 2.7864 5.0434 5.2990
angles: 90.00 97.50 90.00
Sites, in units of the cell vectors:
Li (0.2370, 0.0000, 0.2982)
Li (0.7630, 0.0000, 0.7018)
Y (0.5000, 0.5000, 0.0000)
Re (0.0000, 0.5000, 0.5000)

=====

# 2
VASP calculation (PBE) on a relaxed K2CaFeCl6 crystal.

Properties
Total magnetic moment, Bohr magnetons per cell: 8.0
E_tot, eV/cell: -81.53
Formation energy (no corrections), meV/atom: -1702

abc: 7.1566 7.3245 12.4440
angles: 90.00 124.90 90.00
Sites, in units of the cell vectors:
K (0.2339, 0.0550, 0.2489)
K (0.2339, 0.4450, 0.7489)
K (0.7661, 0.5550, 0.2511)
K (0.7661, 0.9450, 0.7511)
Ca (0.5000, 0.0000, 0.0000)
Ca (0.5000, 0.5000, 0.5000)
Fe (0.0000, 0.0000, 0.5000)
Fe (0.0000, 0.5000, 0.0000)
Cl (0.1540, 0.2187, 0.9601)
Cl (0.1540, 0.2813, 0.4601)
Cl (0.2440, 0.6956, 0.9614)
Cl (0.2440, 0.8044, 0.4614)
Cl (0.3139, 0.0157, 0.7376)
Cl (0.3139, 0.4843, 0.2376)
Cl (0.6861, 0.5157, 0.7624)
Cl (0.6861, 0.9843, 0.2624)
Cl (0.7560, 0.1956, 0.5386)
Cl (0.7560, 0.3044, 0.0386)
Cl (0.8460, 0.7187, 0.5399)
Cl (0.8460, 0.7813, 0.0399)

=====

# 3
VASP calculation (PBE) on a relaxed LaTbAs2 crystal.

Properties
Total magnetic moment, Bohr magnetons per cell: 0.0
E_tot, eV/cell: -25.05

abc: 7.3681 7.3681 7.3681
angles: 33.61 33.61 33.61
Sites, in units of the cell vectors:
La (0.0000, 0.0000, 0.0000)
Tb (0.5000, 0.5000, 0.5000)
As (0.2459, 0.2459, 0.2459)
As (0.7541, 0.7541, 0.7541)

=====

# 4
VASP calculation (PBE) on a relaxed CsCa2GaIr crystal.

Properties
Total magnetic moment, Bohr magnetons per cell: 0.0
E_tot, eV/cell: -17.56

abc: 5.6780 5.6780 4.9971
angles: 90.00 90.00 90.00
Sites, in units of the cell vectors:
Cs (0.0000, 0.0000, 0.0000)
Ca (0.0000, 0.5000, 0.5000)
Ca (0.5000, 0.0000, 0.5000)
Ga (0.5000, 0.5000, 0.0000)
Ir (0.5000, 0.5000, 0.5000)

=====

# 5
VASP calculation (PBE) on a relaxed TmAlSe crystal.

Properties
Total magnetic moment, Bohr magnetons per cell: 0.0
E_tot, eV/cell: -29.13
Formation energy (no corrections), meV/atom: -955

abc: 8.1226 8.1226 8.1226
angles: 33.55 33.55 33.55
Sites, in units of the cell vectors:
Tm (0.0761, 0.0761, 0.0761)
Tm (0.9239, 0.9239, 0.9239)
Al (0.3331, 0.3331, 0.3331)
Al (0.6669, 0.6669, 0.6669)
Se (0.2193, 0.2193, 0.2193)
Se (0.7807, 0.7807, 0.7807)

=====

# 6
VASP calculation (PBE) on a relaxed Rb3Si crystal.

Properties
Total magnetic moment, Bohr magnetons per cell: 1.0
E_tot, eV/cell: -6.89
Formation energy (no corrections), meV/atom: 360

abc: 6.3803 6.3803 6.3803
angles: 121.42 121.42 87.55
Sites, in units of the cell vectors:
Rb (0.0000, 0.0000, 0.0000)
Rb (0.2500, 0.7500, 0.5000)
Rb (0.7500, 0.2500, 0.5000)
Si (0.5000, 0.5000, 0.0000)

=====

# 7
VASP calculation (PBE) on a relaxed Pm2ZrSb crystal.

Properties
Total magnetic moment, Bohr magnetons per cell: 0.0
E_tot, eV/cell: -23.74
Formation energy (no corrections), meV/atom: -392

abc: 4.7464 4.7464 4.7497
angles: 90.00 90.00 90.00
Sites, in units of the cell vectors:
Pm (0.0000, 0.5000, 0.0000)
Pm (0.5000, 0.0000, 0.0000)
Zr (0.0000, 0.0000, 0.5000)
Sb (0.5000, 0.5000, 0.5000)

=====

# 8
VASP calculation (PBE) on a relaxed HoTmGaHg crystal.

Properties
Total magnetic moment, Bohr magnetons per cell: 0.0
E_tot, eV/cell: -14.48

abc: 3.5943 3.5943 7.3293
angles: 90.00 90.00 90.00
Sites, in units of the cell vectors:
Ho (0.0000, 0.0000, 0.0000)
Tm (0.0000, 0.0000, 0.5259)
Ga (0.5000, 0.5000, 0.7604)
Hg (0.5000, 0.5000, 0.2685)

=====

# 9
VASP calculation (PBE) on a relaxed Pu2BiPt crystal.

Properties
Total magnetic moment, Bohr magnetons per cell: 0.2
E_tot, eV/cell: -40.21

abc: 8.5396 8.5396 8.5396
angles: 26.98 26.98 26.98
Sites, in units of the cell vectors:
Pu (0.0000, 0.0000, 0.0000)
Pu (0.1935, 0.1935, 0.1935)
Bi (0.4297, 0.4297, 0.4297)
Pt (0.5976, 0.5976, 0.5976)

=====

# 10
VASP calculation (PBE) on a relaxed Ac3Hg crystal.

Properties
Total magnetic moment, Bohr magnetons per cell: 0.0
E_tot, eV/cell: -25.89

abc: 7.7033 7.7033 5.8962
angles: 90.00 90.00 120.00
Sites, in units of the cell vectors:
Ac (0.1755, 0.3511, 0.2500)
Ac (0.1755, 0.8245, 0.2500)
Ac (0.3511, 0.1755, 0.7500)
Ac (0.6489, 0.8245, 0.2500)
Ac (0.8245, 0.1755, 0.7500)
Ac (0.8245, 0.6489, 0.7500)
Hg (0.3333, 0.6667, 0.7500)
Hg (0.6667, 0.3333, 0.2500)

=====

# 11
VASP calculation (PBE) on a relaxed SmCoN crystal.

Properties
Total magnetic moment, Bohr magnetons per cell: 0.0
E_tot, eV/cell: -39.31
Formation energy (no corrections), meV/atom: 165

abc: 10.2072 3.1530 3.1530
angles: 60.06 90.00 90.00
Sites, in units of the cell vectors:
Sm (0.1551, 0.0000, 0.0000)
Sm (0.8449, 0.0000, 0.0000)
Co (0.3911, 0.6652, 0.6652)
Co (0.6089, 0.6652, 0.6652)
N (0.0000, 0.6666, 0.6666)
N (0.5000, 0.9975, 0.9975)

=====

# 12
VASP calculation (PBE) on a relaxed PaHgBiPd crystal.

Properties
Total magnetic moment, Bohr magnetons per cell: 0.9
E_tot, eV/cell: -19.38

abc: 5.1207 5.1207 5.1207
angles: 60.00 60.00 60.00
Sites, in units of the cell vectors:
Pa (0.0000, 0.0000, 0.0000)
Hg (0.7500, 0.7500, 0.7500)
Bi (0.5000, 0.5000, 0.5000)
Pd (0.2500, 0.2500, 0.2500)